(1)
Density functional theory data (SCAN) for a PBEsol-optimized structure of Si3RhC.

The space group is Pm-3m (No. 221) and the conventional cell measures 3.9233, 3.9233 and 3.9233 Å, with angles of 90.00, 90.00 and 90.00 degrees. The asymmetric unit holds Si at (0.0000, 0.0000, 0.5000), Rh at (0.5000, 0.5000, 0.5000) and C at (0.0000, 0.0000, 0.0000).

The value obtained for the formation energy (no corrections) is 3.280 eV/f.u. The value obtained for the magnetization is 0.0 μB per cell. The electronic total energy comes out at -70.6 eV for the cell shown.

(2)
Density functional theory data (SCAN) for a PBEsol-optimized structure of TaGaOs2F.

The space group is P4/mmm (No. 123) and the conventional cell measures 4.2097, 4.2097 and 4.0935 Å, with angles of 90.00, 90.00 and 90.00 degrees. The asymmetric unit holds Ta at (0.0000, 0.0000, 0.0000), Ga at (0.5000, 0.5000, 0.0000), Os at (0.0000, 0.5000, 0.5000) and F at (0.5000, 0.5000, 0.5000).

The value obtained for the formation energy (no corrections) is 4.049 eV/f.u. The value obtained for the magnetization is 0.0 μB per cell. The electronic total energy comes out at -226.2 eV for the cell shown.

(3)
Density functional theory data (SCAN) for a PBEsol-optimized structure of Ca2SiP3.

The space group is P-3m1 (No. 164) and the conventional cell measures 3.6294, 3.6294 and 10.4268 Å, with angles of 90.00, 90.00 and 120.00 degrees. The asymmetric unit holds Ca at (0.3333, 0.6667, 0.3198), Si at (0.0000, 0.0000, 0.0000), P at (0.0000, 0.0000, 0.5000) and P at (0.3333, 0.6667, 0.8769).

The value obtained for the formation energy (no corrections) is -3.585 eV/f.u. The value obtained for the magnetization is 0.0 μB per cell. The electronic total energy comes out at -64.1 eV for the cell shown.

(4)
Density functional theory data (SCAN) for a PBEsol-optimized structure of MnSi2Cl.

The space group is Immm (No. 71) and the conventional cell measures 2.7429, 4.1094 and 10.9385 Å, with angles of 90.00, 90.00 and 90.00 degrees. The asymmetric unit holds Mn at (0.0000, 0.0000, 0.0000), Si at (0.0000, 0.5000, 0.2975) and Cl at (0.0000, 0.0000, 0.5000).

The value obtained for the formation energy (no corrections) is 0.762 eV/f.u. The calculation puts the distance to the lowest polymorph of the same formula at 0 meV/atom. The value obtained for the magnetization is 6.8 μB per cell. The electronic total energy comes out at -91.0 eV for the cell shown.

(5)
Density functional theory data (SCAN) for a PBEsol-optimized structure of Ca2CdSe2.

The space group is I4/mmm (No. 139) and the conventional cell measures 5.2778, 5.2778 and 11.4299 Å, with angles of 90.00, 90.00 and 90.00 degrees. The asymmetric unit holds Ca at (0.0000, 0.5000, 0.2500), Cd at (0.0000, 0.0000, 0.0000) and Se at (0.0000, 0.0000, 0.3390).

The value obtained for the formation energy (no corrections) is -6.633 eV/f.u. The calculation puts the distance to the lowest polymorph of the same formula at 132 meV/atom. The value obtained for the magnetization is 0.0 μB per cell. The electronic total energy comes out at -193.1 eV for the cell shown.

(6)
Density functional theory data (SCAN) for a PBEsol-optimized structure of Gd2CuO4.

The space group is I4/mmm (No. 139) and the conventional cell measures 3.8536, 3.8536 and 11.7809 Å, with angles of 90.00, 90.00 and 90.00 degrees. The asymmetric unit holds Gd at (0.0000, 0.0000, 0.1500), Cu at (0.0000, 0.0000, 0.5000), O at (0.0000, 0.5000, 0.0000) and O at (0.0000, 0.5000, 0.2500).

The value obtained for the formation energy (no corrections) is -20.154 eV/f.u. The value obtained for the magnetization is 28.0 μB per cell. The electronic total energy comes out at -355.8 eV for the cell shown.

(7)
Density functional theory data (SCAN) for a PBEsol-optimized structure of Re3As.

The space group is C2/m (No. 12) and the conventional cell measures 9.2570, 2.8903 and 4.4673 Å, with angles of 90.00, 94.96 and 90.00 degrees. The asymmetric unit holds Re at (0.0000, 0.0000, 0.0000), Re at (0.2315, 0.5000, 0.2370) and As at (0.0000, 0.5000, 0.5000).

As for the formation energy: 0.35 eV per atom. The calculation puts the distance to the lowest polymorph of the same formula at 153 meV/atom. The value obtained for the magnetization is 0.0 μB per cell. The electronic total energy comes out at -464.2 eV for the cell shown.

(8)
Density functional theory data (SCAN) for a PBEsol-optimized structure of CaTaSe2.

The space group is R-3m (No. 166, hexagonal axes) and the conventional cell measures 3.7276, 3.7276 and 25.4477 Å, with angles of 90.00, 90.00 and 120.00 degrees. The asymmetric unit holds Ca at (0.0000, 0.0000, 0.0000), Ta at (0.0000, 0.0000, 0.5000) and Se at (0.0000, 0.0000, 0.4049).

The value obtained for the formation energy (no corrections) is -1.646 eV/f.u. The calculation puts the distance to the lowest polymorph of the same formula at 537 meV/atom. The value obtained for the magnetization is 2.8 μB per cell. The electronic total energy comes out at -354.1 eV for the cell shown.

(9)
Density functional theory data (SCAN) for a PBEsol-optimized structure of LiTePb2.

The space group is P4/mmm (No. 123) and the conventional cell measures 5.1531, 5.1531 and 4.0960 Å, with angles of 90.00, 90.00 and 90.00 degrees. The asymmetric unit holds Li at (0.0000, 0.0000, 0.0000), Te at (0.5000, 0.5000, 0.0000) and Pb at (0.0000, 0.5000, 0.5000).

The value obtained for the formation energy (no corrections) is -0.751 eV/f.u. The value obtained for the magnetization is 0.0 μB per cell. The electronic total energy comes out at -192.0 eV for the cell shown.

(10)
Density functional theory data (SCAN) for a PBEsol-optimized structure of Sr2NdCu3Pb2O8.

The space group is P4/mmm (No. 123) and the conventional cell measures 3.8054, 3.8054 and 15.7991 Å, with angles of 90.00, 90.00 and 90.00 degrees. The asymmetric unit holds Sr at (0.0000, 0.0000, 0.2229), Nd at (0.0000, 0.0000, 0.0000), Cu at (0.0000, 0.0000, 0.5000), Cu at (0.5000, 0.5000, 0.1100), Pb at (0.5000, 0.5000, 0.3890), O at (0.0000, 0.0000, 0.3840), O at (0.0000, 0.5000, 0.0981) and O at (0.5000, 0.5000, 0.2523).

The value obtained for the formation energy (no corrections) is -30.190 eV/f.u. The value obtained for the magnetization is 0.0 μB per cell. The electronic total energy comes out at -365.3 eV for the cell shown.

(11)
Density functional theory data (SCAN) for a PBEsol-optimized structure of LiTbHg2.

The space group is Fm-3m (No. 225) and the conventional cell measures 6.9927, 6.9927 and 6.9927 Å, with angles of 90.00, 90.00 and 90.00 degrees. The asymmetric unit holds Li at (0.0000, 0.0000, 0.0000), Tb at (0.0000, 0.0000, 0.5000) and Hg at (0.2500, 0.2500, 0.2500).

As for the formation energy: -0.62 eV per atom. The value obtained for the magnetization is 0.0 μB per cell. The electronic total energy comes out at -751.8 eV for the cell shown.

(12)
Density functional theory data (SCAN) for a PBEsol-optimized structure of BaTa.

The space group is P-3m1 (No. 164) and the conventional cell measures 3.4741, 3.4741 and 11.2095 Å, with angles of 90.00, 90.00 and 120.00 degrees. The asymmetric unit holds Ba at (0.3333, 0.6667, 0.1728) and Ta at (0.3333, 0.6667, 0.5791).

As for the formation energy: 0.96 eV per atom. The calculation puts the distance to the lowest polymorph of the same formula at 0 meV/atom. The value obtained for the magnetization is 0.0 μB per cell. The electronic total energy comes out at -208.4 eV for the cell shown.

What is the formula in the second record? TaGaOs2F